[1]
The following is a DFT calculation (PBE) of NiH5Pd2 after structural relaxation.

Spin magnetization, μB per formula unit: 0.0
Density of states at the Fermi level, states/eV/atom: 0.23
VASP energy, eV/atom: -3.995
Calculated density, g/cm3: 7.1

Cell: 5.2115 5.4758 9.0882 Å, 90.00 90.00 90.00°
With the nearest neighbours (Å) after each atom.
Space group Fmmm (No. 69)
Asymmetric unit:
Ni: 0.0000 0.0000 0.0000 (multiplicity 4)  4 H 1.64
H: 0.0000 0.0000 0.5000 (multiplicity 4)  2 Pd 1.69
H: 0.0000 0.1826 0.1424 (multiplicity 16)  1 Ni 1.64, 1 Pd 1.78
Pd: 0.0000 0.0000 0.3145 (multiplicity 8)  5 H 1.69-1.86


[2]
The following is a DFT calculation (PBE) of Sm6YHg2 after structural relaxation.

Energy relative to the elements, meV per atom: -214
Spin magnetization, μB per formula unit: 0.0
Density of states at the Fermi level, states/eV/atom: 1.03
VASP energy, eV/atom: -4.145
Calculated density, g/cm3: 8.3

Cell: 12.8458 3.7693 12.0988 Å, 90.00 108.91 90.00°
With the nearest neighbours (Å) after each atom.
Space group C2/m (No. 12)
Asymmetric unit:
Sm: 0.0196 0.0000 0.3376 (multiplicity 4)  2 Hg 3.22, 3 Sm 3.54-3.59
Sm: 0.1878 0.5000 0.8758 (multiplicity 4)  2 Hg 3.26, 5 Sm 3.47-3.59
Sm: 0.1901 0.5000 0.5887 (multiplicity 4)  2 Hg 3.36, 8 Sm 3.48-3.64
Y: 0.0000 0.0000 0.0000 (multiplicity 2)  4 Hg 3.12
Hg: 0.1390 0.5000 0.1988 (multiplicity 4)  2 Y 3.12, 6 Sm 3.22-3.36


[3]
The following is a DFT calculation (PBE) of CdGe2As3 after structural relaxation.

Energy relative to the elements, meV per atom: 27
Spin magnetization, μB per formula unit: 0.0
Density of states at the Fermi level, states/eV/atom: 0.22
VASP energy, eV/atom: -3.989
Calculated density, g/cm3: 5.1

Cell: 19.9064 4.4796 7.1514 Å, 90.00 101.05 90.00°
With the nearest neighbours (Å) after each atom.
Space group C2/m (No. 12)
Asymmetric unit:
Cd: 0.1293 0.0000 0.2981 (multiplicity 4)  4 As 2.63-2.84
Ge: 0.0456 0.5000 0.7263 (multiplicity 4)  4 As 2.49-2.58
Ge: 0.2008 0.0000 0.8893 (multiplicity 4)  4 As 2.49-2.58
As: 0.0765 0.0000 0.8998 (multiplicity 4)  3 Ge 2.49-2.58
As: 0.0802 0.5000 0.4094 (multiplicity 4)  2 Ge 2.49-2.51, 2 Cd 2.63
As: 0.2378 0.5000 0.7596 (multiplicity 4)  3 Ge 2.57-2.58, 1 Cd 2.76


[4]
The following is a DFT calculation (PBE) of ZnNiRh after structural relaxation.

Energy relative to the elements, meV per atom: 137
Relative energy among the computed polymorphs, meV per atom: 308
Spin magnetization, μB per formula unit: 1.0
Density of states at the Fermi level, states/eV/atom: 1.20
VASP energy, eV/atom: -4.665
Calculated density, g/cm3: 8.4

Cell: 5.6479 5.6479 5.6479 Å, 90.00 90.00 90.00°
With the nearest neighbours (Å) after each atom.
Space group F-43m (No. 216)
Asymmetric unit:
Zn: 0.0000 0.0000 0.0000 (multiplicity 4)  4 Ni 2.45
Ni: 0.2500 0.2500 0.7500 (multiplicity 4)  4 Zn 2.45, 4 Rh 2.45
Rh: 0.0000 0.0000 0.5000 (multiplicity 4)  4 Ni 2.45


[5]
The following is a DFT calculation (PBE) of SrIn2Fe after structural relaxation.

Energy relative to the elements, meV per atom: 324
Spin magnetization, μB per formula unit: 2.8
Density of states at the Fermi level, states/eV/atom: 0.78
VASP energy, eV/atom: -3.581
Calculated density, g/cm3: 6.1

Cell: 6.2819 9.6891 3.3213 Å, 90.00 90.00 90.00°
With the nearest neighbours (Å) after each atom.
Space group Cmmm (No. 65)
Asymmetric unit:
Sr: 0.0000 0.0000 0.0000 (multiplicity 2)  2 Fe 3.14, 2 Sr 3.32, 8 In 3.33
In: 0.2500 0.2500 0.5000 (multiplicity 4)  4 In 3.14-3.32, 4 Fe 3.33, 4 Sr 3.33
Fe: 0.0000 0.5000 0.0000 (multiplicity 2)  2 Sr 3.14, 2 Fe 3.32, 8 In 3.33


[6]
The following is a DFT calculation (PBE) of NdDy4Se6 after structural relaxation.

Spin magnetization, μB per formula unit: 0.0
Density of states at the Fermi level, states/eV/atom: 0.26
E_form (uncorrected), eV per atom: -1.84
VASP energy, eV/atom: -5.844
Calculated density, g/cm3: 7.5

Cell: 4.0316 13.4041 20.8273 Å, 90.00 90.00 90.00°
With the nearest neighbours (Å) after each atom.
Space group Cmcm (No. 63)
Asymmetric unit:
Nd: 0.0000 0.1541 0.2500 (multiplicity 4)  6 Se 2.97-3.03
Dy: 0.0000 0.0902 0.6260 (multiplicity 8)  6 Se 2.87-2.89
Dy: 0.0000 0.3597 0.5380 (multiplicity 8)  6 Se 2.86-2.95
Se: 0.0000 0.0000 0.0000 (multiplicity 4)  6 Dy 2.87-2.89
Se: 0.0000 0.1833 0.7500 (multiplicity 4)  2 Dy 2.87, 2 Nd 2.97
Se: 0.0000 0.2679 0.0905 (multiplicity 8)  5 Dy 2.86-2.95
Se: 0.0000 0.4500 0.6646 (multiplicity 8)  3 Dy 2.87-2.90, 2 Nd 3.03


[7]
The following is a DFT calculation (PBE) of Hf3Zr2Mn after structural relaxation.

Energy relative to the elements, meV per atom: -35
Spin magnetization, μB per formula unit: 0.0
Density of states at the Fermi level, states/eV/atom: 0.78
VASP energy, eV/atom: -9.389
Calculated density, g/cm3: 10.4

Cell: 4.9154 15.3566 3.2758 Å, 90.00 90.15 90.00°
With the nearest neighbours (Å) after each atom.
Space group C2/m (No. 12)
Asymmetric unit:
Hf: 0.0000 0.0000 0.0000 (multiplicity 2)  4 Mn 2.95-2.96, 6 Hf 3.17-3.28, 4 Zr 3.26
Hf: 0.0000 0.3699 0.0000 (multiplicity 4)  2 Mn 2.58
Zr: 0.0000 0.1834 0.5000 (multiplicity 4)  8 Hf 3.06-3.30, 4 Zr 3.20-3.28
Mn: 0.0000 0.5000 0.5000 (multiplicity 2)  4 Hf 2.58


[8]
The following is a DFT calculation (PBE) of TbY2Tm5Sc after structural relaxation.

Energy relative to the elements, meV per atom: 170
Spin magnetization, μB per formula unit: 0.0
Density of states at the Fermi level, states/eV/atom: 1.61
VASP energy, eV/atom: -4.969
Calculated density, g/cm3: 7.3

Cell: 5.5089 19.5192 10.3210 Å, 90.00 90.00 90.00°
With the nearest neighbours (Å) after each atom.
Space group Cmc2_1 (No. 36)
Asymmetric unit:
Tb: 0.0000 0.0878 0.0000 (multiplicity 4)  5 Tm 2.98-3.21
Y: 0.0000 0.3868 0.2783 (multiplicity 4)  1 Sc 3.31, 7 Tm 3.40-3.65, 2 Tb 3.62
Y: 0.0000 0.3892 0.8589 (multiplicity 4)  9 Tm 3.26-3.53, 1 Sc 3.54
Tm: 0.0000 0.0187 0.2817 (multiplicity 4)  2 Tb 3.07-3.21, 2 Y 3.38
Tm: 0.0000 0.1193 0.5640 (multiplicity 4)  4 Y 3.48-3.53, 6 Tm 3.51-3.86, 1 Sc 3.58
Tm: 0.0000 0.2005 0.2484 (multiplicity 4)  4 Tm 3.35-3.62, 1 Tb 3.38, 2 Sc 3.39, 3 Y 3.46-3.65
Tm: 0.0000 0.2222 0.8622 (multiplicity 4)  1 Tb 2.98, 1 Y 3.26
Tm: 0.0000 0.4806 0.5642 (multiplicity 4)  2 Tb 3.13, 3 Y 3.31-3.47, 1 Sc 3.47
Sc: 0.0000 0.3026 0.5572 (multiplicity 4)  2 Y 3.31-3.54, 7 Tm 3.39-3.58, 2 Tb 3.54


[9]
The following is a DFT calculation (PBE) of Pm3TeN2 after structural relaxation.

Relative energy among the computed polymorphs, meV per atom: 0
Spin magnetization, μB per formula unit: 0.6
Density of states at the Fermi level, states/eV/atom: 0.50
E_form (uncorrected), eV per atom: -1.25
VASP energy, eV/atom: -6.921
Calculated density, g/cm3: 7.6

Cell: 3.6408 10.9266 6.4993 Å, 90.00 90.00 90.00°
With the nearest neighbours (Å) after each atom.
Space group Pmc2_1 (No. 26)
Asymmetric unit:
Pm: 0.0000 0.0907 0.0000 (multiplicity 2)  3 N 2.38-2.56
Pm: 0.5000 0.1722 0.5370 (multiplicity 2)  4 N 2.47-2.55
Pm: 0.5000 0.3915 0.8813 (multiplicity 2)  2 N 2.43
Te: 0.0000 0.3682 0.2779 (multiplicity 2)  7 Pm 3.17-3.53, 2 N 3.41-3.51
N: 0.0000 0.2601 0.7696 (multiplicity 2)  5 Pm 2.38-2.55
N: 0.5000 0.0049 0.2739 (multiplicity 2)  6 Pm 2.47-2.71


[10]
The following is a DFT calculation (PBE) of CeNdBi2 after structural relaxation.

Energy relative to the elements, meV per atom: -763
Relative energy among the computed polymorphs, meV per atom: 112
Spin magnetization, μB per formula unit: 1.1
Density of states at the Fermi level, states/eV/atom: 1.94
VASP energy, eV/atom: -5.379
Calculated density, g/cm3: 8.4

Cell: 9.1399 7.9216 7.6817 Å, 90.00 90.00 90.00°
With the nearest neighbours (Å) after each atom.
Space group Pbcm (No. 57)
Asymmetric unit:
Ce: 0.1245 0.0829 0.2500 (multiplicity 4)  6 Bi 3.26
Nd: 0.3753 0.5837 0.2500 (multiplicity 4)  6 Bi 3.27
Bi: 0.1239 0.7500 0.0000 (multiplicity 4)  4 Ce 3.26, 2 Nd 3.27
Bi: 0.3729 0.2500 0.0000 (multiplicity 4)  2 Ce 3.26, 4 Nd 3.27


[11]
The following is a DFT calculation (PBE) of La3Tb7Sc after structural relaxation.

Energy relative to the elements, meV per atom: 174
Relative energy among the computed polymorphs, meV per atom: 0
Spin magnetization, μB per formula unit: 0.0
Density of states at the Fermi level, states/eV/atom: 1.55
VASP energy, eV/atom: -4.692
Calculated density, g/cm3: 6.9

Cell: 7.0725 7.0725 8.7370 Å, 90.00 90.00 120.00°
With the nearest neighbours (Å) after each atom.
Space group P3m1 (No. 156)
Asymmetric unit:
La: 0.0021 0.5011 0.0000 (multiplicity 3)  4 La 3.51-3.56, 5 Tb 3.58-3.64, 1 Sc 3.59
Tb: 0.1680 0.3361 0.3456 (multiplicity 3)  1 Sc 3.42, 8 Tb 3.46-3.57, 2 La 3.64
Tb: 0.3349 0.1674 0.6640 (multiplicity 3)  7 Tb 3.46-3.55, 2 Sc 3.54, 2 La 3.58
Tb: 0.6667 0.3333 0.3423 (multiplicity 1)  9 Tb 3.47-3.54, 3 La 3.63
Sc: 0.3333 0.6667 0.6607 (multiplicity 1)  9 Tb 3.42-3.54, 3 La 3.59


[12]
The following is a DFT calculation (PBE) of SrNiOs after structural relaxation.

Energy relative to the elements, meV per atom: 1050
Relative energy among the computed polymorphs, meV per atom: 640
Spin magnetization, μB per formula unit: 2.2
Density of states at the Fermi level, states/eV/atom: 0.79
VASP energy, eV/atom: -5.181
Calculated density, g/cm3: 8.6

Cell: 6.3768 6.3768 6.3768 Å, 90.00 90.00 90.00°
With the nearest neighbours (Å) after each atom.
Space group F-43m (No. 216)
Asymmetric unit:
Sr: 0.0000 0.0000 0.0000 (multiplicity 4)  4 Ni 2.76
Ni: 0.2500 0.2500 0.2500 (multiplicity 4)  4 Sr 2.76, 4 Os 2.76
Os: 0.0000 0.0000 0.5000 (multiplicity 4)  4 Ni 2.76


- Which value of density of states at the Fermi level does entry 9 give?
  0.50 states/eV/atom